# GGA-PBE NaMgGa, relaxed
data_NaMgGa
_chemical_formula_sum 'Na1 Mg1 Ga1'
_space_group_name_H-M_alt 'P 1'
_space_group_IT_number 1
_space_group_name_Hall 'P 1'
_cell_length_a 3.2116
_cell_length_b 3.2116
_cell_length_c 7.1179
_cell_angle_alpha 103.04
_cell_angle_beta 103.04
_cell_angle_gamma 90.00
loop_
_atom_site_label
_atom_site_type_symbol
_atom_site_fract_x
_atom_site_fract_y
_atom_site_fract_z
Na1 Na 0.0116 0.0116 0.0231
Mg1 Mg 0.3120 0.3120 0.6240
Ga1 Ga 0.6764 0.6764 0.3529
# SG: I4mm, No. 107
# E_form in eV/atom: -0.033
# Magnetic moment in μB/f.u.: 0.00
# VASP energy in eV/atom: -2.01


# GGA-PBE La6RhSe3S2, relaxed
data_La6RhSe3S2
_chemical_formula_sum 'La6 Rh1 Se3 S2'
_space_group_name_H-M_alt 'P 1'
_space_group_IT_number 1
_space_group_name_Hall 'P 1'
_cell_length_a 4.1981
_cell_length_b 8.6072
_cell_length_c 9.5730
_cell_angle_alpha 103.53
_cell_angle_beta 102.67
_cell_angle_gamma 90.00
loop_
_atom_site_label
_atom_site_type_symbol
_atom_site_fract_x
_atom_site_fract_y
_atom_site_fract_z
La1 La 0.3361 0.9088 0.6722
La2 La 0.6700 0.5738 0.3401
La3 La 0.6639 0.0912 0.3278
La4 La 0.0026 0.2359 0.0052
La5 La 0.9974 0.7641 0.9948
La6 La 0.3300 0.4262 0.6599
Rh1 Rh 0.5000 0.0000 0.0000
Se1 Se 0.5000 0.5000 0.0000
Se2 Se 0.8322 0.1687 0.6644
Se3 Se 0.1678 0.8313 0.3356
S1 S 0.8329 0.6666 0.6658
S2 S 0.1671 0.3334 0.3342
# SG: C2/m, No. 12
# Magnetic moment in μB/f.u.: 0.00
# VASP energy in eV/atom: -6.47
# ΔE_f (raw) in eV/atom: -1.83


# GGA-PBE ScPtSeBr2, relaxed
data_ScPtSeBr2
_chemical_formula_sum 'Sc1 Pt1 Se1 Br2'
_space_group_name_H-M_alt 'P 1'
_space_group_IT_number 1
_space_group_name_Hall 'P 1'
_cell_length_a 5.0837
_cell_length_b 5.0837
_cell_length_c 5.4148
_cell_angle_alpha 90.00
_cell_angle_beta 90.00
_cell_angle_gamma 90.00
loop_
_atom_site_label
_atom_site_type_symbol
_atom_site_fract_x
_atom_site_fract_y
_atom_site_fract_z
Sc1 Sc 0.0000 0.0000 0.0000
Se1 Se 0.0000 0.0000 0.5000
Br1 Br 0.0000 0.5000 0.0000
Br2 Br 0.5000 0.0000 0.0000
Pt1 Pt 0.5000 0.5000 0.5000
# SG: P4/mmm, No. 123
# Magnetic moment in μB/f.u.: 1.02
# VASP energy in eV/atom: -3.97
# ΔE_f (raw) in eV/atom: -0.13


# GGA-PBE Sr2SCl, relaxed
data_Sr2SCl
_chemical_formula_sum 'Sr2 S1 Cl1'
_space_group_name_H-M_alt 'P 1'
_space_group_IT_number 1
_space_group_name_Hall 'P 1'
_cell_length_a 5.1996
_cell_length_b 5.1996
_cell_length_c 5.1996
_cell_angle_alpha 60.00
_cell_angle_beta 60.00
_cell_angle_gamma 60.00
loop_
_atom_site_label
_atom_site_type_symbol
_atom_site_fract_x
_atom_site_fract_y
_atom_site_fract_z
Sr1 Sr 0.2500 0.2500 0.2500
Sr2 Sr 0.7500 0.7500 0.7500
S1 S 0.0000 0.0000 0.0000
Cl1 Cl 0.5000 0.5000 0.5000
# SG: Fm-3m, No. 225
# Magnetic moment in μB/f.u.: 0.00
# VASP energy in eV/atom: -3.95
# ΔE_f (raw) in eV/atom: -1.62